No. 1
Computed, not measured: a relaxed DyErTa2Ge2 crystal at the GGA-PBE level of DFT.

Computed properties:
ρ = 11.1 g/cm3
total magnetic moment = 1.1 μB per formula unit
energy = -7.61 eV per atom

Lattice parameters (Å, degrees): 4.012 4.012 7.811 90.00 90.00 90.00
Last column: magnetic moment on the atom in μB.
Fractional positions:
Dy  0.000  0.000  0.352  0.31
Ge  0.500  0.500  0.246  -0.01
Ge  0.000  0.000  0.753  -0.01
Ta  0.000  0.500  0.000  0.04
Ta  0.500  0.000  0.000  0.04
Er  0.500  0.500  0.649  0.32


No. 2
Computed, not measured: a relaxed DyErZn2Ge2 crystal at the GGA-PBE level of DFT.

Computed properties:
ρ = 8.4 g/cm3
energy above the most stable polymorph in this dataset = 0 meV/atom
total magnetic moment = 0.0 μB per formula unit
energy = -4.15 eV per atom

Lattice parameters (Å, degrees): 4.228 4.228 15.519 90.00 90.00 120.00
Fractional positions:
Zn  0.333  0.667  0.148
Zn  0.667  0.333  0.852
Zn  0.667  0.333  0.648
Zn  0.333  0.667  0.352
Ge  0.667  0.333  0.387
Ge  0.667  0.333  0.113
Ge  0.333  0.667  0.613
Ge  0.333  0.667  0.887
Dy  0.000  0.000  0.000
Dy  0.000  0.000  0.500
Er  0.000  0.000  0.250
Er  0.000  0.000  0.750


No. 3
Computed, not measured: a relaxed DyErH2I4 crystal at the GGA-PBE level of DFT.

Computed properties:
ρ = 6.1 g/cm3
total magnetic moment = 0.0 μB per formula unit
energy = -3.94 eV per atom

Lattice parameters (Å, degrees): 3.973 3.973 16.610 90.00 90.00 120.00
Fractional positions:
I  0.333  0.667  0.127
I  0.333  0.667  0.873
I  0.667  0.333  0.627
I  0.667  0.333  0.373
H  0.667  0.333  0.000
H  0.333  0.667  0.500
Er  0.000  0.000  0.500
Dy  0.000  0.000  0.000


No. 4
Computed, not measured: a relaxed DyErHf2Sb2 crystal at the GGA-PBE level of DFT.

Computed properties:
ρ = 10.4 g/cm3
total magnetic moment = 0.0 μB per formula unit
energy = -6.92 eV per atom

Lattice parameters (Å, degrees): 8.762 8.762 8.762 151.91 151.91 40.14
Fractional positions:
Hf  0.000  0.500  0.500
Hf  0.500  0.000  0.500
Sb  0.868  0.868  0.000
Sb  0.132  0.132  0.000
Dy  0.324  0.324  0.000
Er  0.676  0.676  0.000


No. 5
Computed, not measured: a relaxed Dy3Er2Hg3 crystal at the GGA-PBE level of DFT.

Computed properties:
ρ = 11.0 g/cm3
energy above the most stable polymorph in this dataset = 101 meV/atom
E_form = -3.97 kcal/mol of atoms
total magnetic moment = 0.1 μB per formula unit
energy = -3.15 eV per atom

Lattice parameters (Å, degrees): 5.540 6.489 6.489 67.17 90.00 90.00
Fractional positions:
Hg  0.000  0.830  0.830
Hg  0.500  0.208  0.633
Hg  0.500  0.633  0.208
Er  0.500  0.695  0.695
Er  0.000  0.333  0.333
Dy  0.500  0.145  0.145
Dy  0.000  0.321  0.834
Dy  0.000  0.834  0.321


No. 6
Computed, not measured: a relaxed DyEr2Hg crystal at the GGA-PBE level of DFT.

Computed properties:
ρ = 10.7 g/cm3
energy above the most stable polymorph in this dataset = 33 meV/atom
E_form = -3.83 kcal/mol of atoms
total magnetic moment = 0.0 μB per formula unit
energy = -3.67 eV per atom

Lattice parameters (Å, degrees): 6.828 6.828 5.383 90.00 90.00 120.05
Fractional positions:
Er  0.172  0.342  0.250
Er  0.658  0.828  0.250
Er  0.828  0.658  0.750
Er  0.342  0.172  0.750
Hg  0.666  0.334  0.250
Hg  0.334  0.666  0.750
Dy  0.172  0.828  0.250
Dy  0.828  0.172  0.750


No. 7
Computed, not measured: a relaxed DyEr2Hg5 crystal at the GGA-PBE level of DFT.

Computed properties:
ρ = 12.8 g/cm3
E_form = -9.53 kcal/mol of atoms
total magnetic moment = 0.0 μB per formula unit
energy = -2.32 eV per atom

Lattice parameters (Å, degrees): 5.085 6.347 6.347 71.26 90.00 90.00
Fractional positions:
Dy  0.000  0.106  0.106
Hg  0.000  0.607  0.165
Hg  0.500  0.859  0.368
Hg  0.500  0.867  0.867
Hg  0.500  0.368  0.859
Hg  0.000  0.165  0.607
Er  0.000  0.662  0.662
Er  0.500  0.366  0.366


No. 8
Computed, not measured: a relaxed Dy3Er2Hg3 crystal at the GGA-PBE level of DFT.

Computed properties:
ρ = 11.1 g/cm3
energy above the most stable polymorph in this dataset = 138 meV/atom
E_form = -3.10 kcal/mol of atoms
total magnetic moment = 0.1 μB per formula unit
energy = -3.11 eV per atom

Lattice parameters (Å, degrees): 6.858 6.858 5.253 90.00 90.00 120.00
Fractional positions:
Er  0.000  0.000  0.000
Er  0.667  0.333  0.500
Dy  0.004  0.502  0.000
Dy  0.498  0.996  0.000
Dy  0.498  0.502  0.000
Hg  0.169  0.337  0.500
Hg  0.169  0.831  0.500
Hg  0.663  0.831  0.500